First-principles (PBE) data for a relaxed structure of PmLuBe2, as listed in the Alexandria database.

Computed properties:
Uncorrected energy in eV per atom: -4.05
Energy relative to the elements in eV/f.u.: 0.515
M_tot in μB/atom: 0.00
Calculated volume in Å³/atom: 19.99

POSCAR file:
```
PmLuBe2
1.0
-1.928 -1.281 -4.246
-2.946 -3.826 -0.263
-4.727 0.638 -0.801
Be Pm Lu
2 1 1
Direct
0.250 0.250 0.250
0.750 0.750 0.750
0.000 0.000 0.000
0.500 0.500 0.500
```